# GGA+U CuAgWF6, optimized geometry
data_CuAgWF6
_chemical_formula_sum 'Cu2 Ag2 W2 F12'
_space_group_name_H-M_alt 'P -3 1 c'
_space_group_IT_number 163
_space_group_name_Hall '-P 3 2c'
_cell_length_a 5.8588
_cell_length_b 5.8588
_cell_length_c 9.0815
_cell_angle_alpha 90.00
_cell_angle_beta 90.00
_cell_angle_gamma 120.00
loop_
_atom_site_label
_atom_site_type_symbol
_atom_site_fract_x
_atom_site_fract_y
_atom_site_fract_z
_atom_site_occupancy
Cu1 Cu 0.0000 0.0000 0.0000 1
Ag1 Ag 0.3333 0.6667 0.2500 1
W1 W 0.3333 0.6667 0.7500 1
F1 F 0.0598 0.3750 0.6209 1
# VASP energy: -84.37 eV for the cell shown